A plane-wave DFT calculation with PBE-GGA was carried out for a relaxed Ho3ErTl4 crystal.

Excess energy over the best structure of this formula in the dataset (meV per atom): 120.6
DFT total energy (eV/atom): -3.67
ΔH_f (0 K) (meV per atom): -204
Symmetry: Pmn2_1, No. 31
Crystal system: orthorhombic

a = 10.0290 Å, b = 6.6630 Å, c = 6.5974 Å
α = 90.00°, β = 90.00°, γ = 90.00°
With the nearest neighbours (Å) after each atom.
Sites, in units of the cell vectors:
Ho (0.0000, 0.0008, 0.0000)  6 Tl 3.30-3.44, 2 Er 3.33, 4 Ho 3.43
Ho (0.2499, 0.2506, 0.7487)  8 Tl 3.30-3.44, 2 Er 3.43, 2 Ho 3.43
Ho (0.2501, 0.7494, 0.2487)  8 Tl 3.30-3.44, 2 Er 3.43, 2 Ho 3.43
Ho (0.5000, 0.9992, 0.5000)  6 Tl 3.30-3.44, 2 Er 3.33, 4 Ho 3.43
Ho (0.7501, 0.2506, 0.7487)  8 Tl 3.30-3.44, 2 Er 3.43, 2 Ho 3.43
Ho (0.7499, 0.7494, 0.2487)  8 Tl 3.30-3.44, 2 Er 3.43, 2 Ho 3.43
Er (0.0000, 0.5009, 0.9977)  6 Tl 3.30-3.44, 6 Ho 3.33-3.43
Er (0.5000, 0.4991, 0.4977)  6 Tl 3.30-3.44, 6 Ho 3.33-3.43
Tl (0.0000, 0.9999, 0.4997)  6 Ho 3.30-3.44, 6 Tl 3.33-3.44
Tl (0.0000, 0.5000, 0.4978)  2 Er 3.30, 6 Tl 3.33-3.44, 4 Ho 3.43
Tl (0.2500, 0.2499, 0.2488)  6 Ho 3.30-3.44, 2 Er 3.43-3.44, 4 Tl 3.43-3.44
Tl (0.2500, 0.7501, 0.7488)  6 Ho 3.30-3.44, 2 Er 3.43-3.44, 4 Tl 3.43-3.44
Tl (0.5000, 0.0001, 0.9997)  6 Ho 3.30-3.44, 6 Tl 3.33-3.44
Tl (0.5000, 0.5000, 0.9978)  2 Er 3.30, 6 Tl 3.33-3.44, 4 Ho 3.43
Tl (0.7500, 0.2499, 0.2488)  6 Ho 3.30-3.44, 2 Er 3.43-3.44, 4 Tl 3.43-3.44
Tl (0.7500, 0.7501, 0.7488)  6 Ho 3.30-3.44, 2 Er 3.43-3.44, 4 Tl 3.43-3.44